A plane-wave DFT calculation with GGA-PBE was carried out for Rb4Sb2Te5 after structural relaxation.

a b c (Å): 11.862 22.723 6.519
angles (deg): 90.00 90.00 90.00
Space group Ibam (No. 72)
One atom of each set of equivalent atoms:
Rb: 0.121 0.150 0.000 [8 per cell]
Rb: 0.227 0.437 0.000 [8 per cell]
Sb: 0.000 0.309 0.250 [8 per cell]
Te: 0.000 0.000 0.250 [4 per cell]
Te: 0.098 0.412 0.500 [8 per cell]
Te: 0.154 0.226 0.500 [8 per cell]

Summary:
* uncorrected formation energy: -525 meV/atom
* total moment: 0.0 μB/cell
* DOS at the Fermi energy: 0.74 states/eV/atom
* volume: 39.94 Å³ per atom